1 | The following is a DFT calculation (PBE) of an optimized crystal structure of Li4TlSb2.

```
7
Lattice="-0.167 3.294 3.436 -1.458 -1.194 4.374 6.935 -1.028 4.624" Properties=species:S:1:pos:R:3 pbc="T T T"
Li 1.270 1.431 8.593
Li 4.040 -0.359 3.841
Li 0.057 1.136 5.515
Li 5.253 -0.064 6.919
Tl 0.000 0.000 0.000
Sb 3.938 0.814 9.314
Sb 1.372 0.258 3.120
```

Properties
* DOS at the Fermi energy: 0.395 states/eV per atom
* space-group type: R-3m (166)
* total magnetization: 0.0000 μB per atom
* mass density: 5.1 Mg/m³

2 | The following is a DFT calculation (PBE) of an optimized crystal structure of Li4TlSb2.

```
7
Lattice="5.252 0.000 0.000 0.000 5.252 0.000 -2.626 -2.626 5.683" Properties=species:S:1:pos:R:3 pbc="T T T"
Li 2.626 0.000 2.842
Li 0.000 2.626 2.842
Li 2.626 0.000 0.000
Li 0.000 2.626 0.000
Tl 0.000 0.000 0.000
Sb 2.626 2.626 1.477
Sb 0.000 0.000 4.206
```

Properties
* DOS at the Fermi energy: 0.480 states/eV per atom
* space-group type: I4/mmm (139)
* total magnetization: 0.0000 μB per atom
* mass density: 5.0 Mg/m³

Name the least stable of them. 2.

1 | The following is a DFT calculation (PBE) of an optimized crystal structure of LiTmSb2.

```
4
Lattice="-2.864 -2.843 -0.779 2.989 -2.145 -3.160 1.779 -2.769 3.562" Properties=species:S:1:pos:R:3 pbc="T T T"
Sb 0.890 -1.385 1.781
Sb 1.494 -1.073 -1.580
Tm 0.952 -3.879 -0.189
Li -1.432 -1.421 -0.390
```

Properties
* DOS at the Fermi energy: 0.483 states/eV per atom
* space-group type: P4/mmm (123)
* total magnetization: 0.0000 μB per atom
* mass density: 7.2 Mg/m³

2 | The following is a DFT calculation (PBE) of an optimized crystal structure of LiTmSb2.

```
8
Lattice="4.248 0.000 0.000 0.000 4.248 0.000 0.000 0.000 10.647" Properties=species:S:1:pos:R:3 pbc="T T T"
Li 2.124 2.124 0.000
Li 0.000 0.000 0.000
Tm 0.000 2.124 2.870
Tm 2.124 0.000 7.776
Sb 2.124 0.000 1.831
Sb 0.000 2.124 8.816
Sb 0.000 0.000 5.323
Sb 2.124 2.124 5.323
```

Properties
* DOS at the Fermi energy: 0.390 states/eV per atom
* space-group type: P4/nmm (129)
* total magnetization: 0.0000 μB per atom
* mass density: 7.3 Mg/m³

Name the least stable of them. 1.

1 | The following is a DFT calculation (PBE) of an optimized crystal structure of LiTmSb2.

```
4
Lattice="4.757 0.000 0.000 2.378 4.120 0.000 2.378 1.373 5.151" Properties=species:S:1:pos:R:3 pbc="T T T"
Sb 2.378 1.373 1.177
Sb 7.135 4.120 3.974
Tm 4.757 2.746 2.576
Li 0.000 0.000 0.000
```

Properties
* DOS at the Fermi energy: 0.376 states/eV per atom
* space-group type: R-3m (166)
* total magnetization: 0.0000 μB per atom
* mass density: 6.9 Mg/m³

2 | The following is a DFT calculation (PBE) of an optimized crystal structure of LiTmSb2.

```
4
Lattice="-3.742 -0.295 1.075 0.934 -2.886 2.458 1.013 4.348 4.721" Properties=species:S:1:pos:R:3 pbc="T T T"
Sb 0.764 3.280 3.561
Sb 0.249 1.068 1.160
Tm -0.898 0.583 4.127
Li -1.404 -1.591 1.766
```

Properties
* DOS at the Fermi energy: 0.504 states/eV per atom
* space-group type: P4/mmm (123)
* total magnetization: 0.0000 μB per atom
* mass density: 7.0 Mg/m³

Name the least stable of them. 1.

1 | The following is a DFT calculation (PBE) of an optimized crystal structure of LiUSb2.

```
4
Lattice="3.197 0.000 0.000 0.000 5.540 0.000 0.000 0.000 5.540" Properties=species:S:1:pos:R:3 pbc="T T T"
Sb 0.000 0.000 2.770
Sb 0.000 2.770 0.000
U 1.598 0.000 0.000
Li 1.598 2.770 2.770
```

Properties
* DOS at the Fermi energy: 1.625 states/eV per atom
* space-group type: P4/mmm (123)
* total magnetization: 0.6077 μB per atom
* mass density: 8.3 Mg/m³

2 | The following is a DFT calculation (PBE) of an optimized crystal structure of LiUSb2.

```
8
Lattice="4.288 0.000 0.000 0.000 4.288 0.000 0.000 0.000 10.601" Properties=species:S:1:pos:R:3 pbc="T T T"
Li 2.144 2.144 0.000
Li 0.000 0.000 0.000
U 0.000 2.144 2.880
U 2.144 0.000 7.721
Sb 2.144 0.000 1.830
Sb 0.000 2.144 8.771
Sb 0.000 0.000 5.300
Sb 2.144 2.144 5.300
```

Properties
* DOS at the Fermi energy: 1.788 states/eV per atom
* space-group type: P4/nmm (129)
* total magnetization: 0.6620 μB per atom
* mass density: 8.3 Mg/m³

3 | The following is a DFT calculation (PBE) of an optimized crystal structure of LiUSb2.

```
4
Lattice="3.829 0.000 0.000 0.000 3.829 0.000 0.000 0.000 6.584" Properties=species:S:1:pos:R:3 pbc="T T T"
Sb 0.000 0.000 5.014
Sb 0.000 0.000 1.570
U 1.915 1.915 3.292
Li 1.915 1.915 0.000
```

Properties
* DOS at the Fermi energy: 1.258 states/eV per atom
* space-group type: P4/mmm (123)
* total magnetization: 0.6996 μB per atom
* mass density: 8.4 Mg/m³

4 | The following is a DFT calculation (PBE) of an optimized crystal structure of LiUSb2.

```
4
Lattice="-1.578 3.238 -2.499 -0.593 -0.638 -4.297 -6.728 -1.184 -1.132" Properties=species:S:1:pos:R:3 pbc="T T T"
Li -8.031 0.599 -5.690
U -4.533 0.680 -3.948
Sb -5.397 -0.730 -1.383
Sb -2.115 0.392 -2.003
```

Properties
* DOS at the Fermi energy: 1.995 states/eV per atom
* space-group type: R3m (160)
* total magnetization: 0.6281 μB per atom
* mass density: 7.6 Mg/m³

Name the least stable of them. 4.

1 | The following is a DFT calculation (PBE) of an optimized crystal structure of LiUSb.

```
6
Lattice="4.738 0.000 0.000 2.369 4.103 0.000 2.369 1.368 7.821" Properties=species:S:1:pos:R:3 pbc="T T T"
Sb 4.738 2.735 2.042
Sb 4.738 2.735 5.779
Li 2.369 1.368 0.820
Li 7.106 4.103 7.001
U 7.106 4.103 3.829
U 2.369 1.368 3.992
```

Properties
* DOS at the Fermi energy: 1.484 states/eV per atom
* space-group type: R-3m (166)
* total magnetization: 1.1326 μB per atom
* mass density: 8.0 Mg/m³

2 | The following is a DFT calculation (PBE) of an optimized crystal structure of LiUSb.

```
3
Lattice="-3.916 0.061 1.111 0.287 -3.873 1.222 3.006 3.295 2.956" Properties=species:S:1:pos:R:3 pbc="T T T"
Sb -1.515 -1.556 2.205
U 0.665 0.774 2.299
Li -0.754 -0.670 4.837
```

Properties
* DOS at the Fermi energy: 1.655 states/eV per atom
* space-group type: I4mm (107)
* total magnetization: 1.2613 μB per atom
* mass density: 8.1 Mg/m³

Name the least stable of them. 2.

1 | The following is a DFT calculation (PBE) of an optimized crystal structure of LiSbW.

```
3
Lattice="-3.014 -3.095 1.251 0.465 -2.130 3.934 -2.843 0.866 3.376" Properties=species:S:1:pos:R:3 pbc="T T T"
Li 0.000 0.000 0.000
Sb -2.696 -2.180 4.281
W -4.045 -3.270 6.421
```

Properties
* DOS at the Fermi energy: 0.741 states/eV per atom
* space-group type: F-43m (216)
* total magnetization: 0.6226 μB per atom
* mass density: 8.1 Mg/m³

2 | The following is a DFT calculation (PBE) of an optimized crystal structure of LiSbW.

```
3
Lattice="-3.516 3.568 -0.158 -4.069 -0.064 2.926 4.977 -0.510 0.291" Properties=species:S:1:pos:R:3 pbc="T T T"
Li -0.001 0.000 0.000
Sb -5.051 2.333 1.843
W -2.533 1.170 0.924
```

Properties
* DOS at the Fermi energy: 0.357 states/eV per atom
* space-group type: I4mm (107)
* total magnetization: 0.0000 μB per atom
* mass density: 10.3 Mg/m³

Name the least stable of them. 1.

1 | The following is a DFT calculation (PBE) of an optimized crystal structure of LiSbW.

```
3
Lattice="7.214 0.008 0.000 6.020 3.976 0.000 -6.617 -1.992 2.072" Properties=species:S:1:pos:R:3 pbc="T T T"
Li 0.219 0.066 0.000
Sb 4.207 1.267 0.000
W 8.807 2.651 0.000
```

Properties
* DOS at the Fermi energy: 0.393 states/eV per atom
* space-group type: I4mm (107)
* total magnetization: 0.0000 μB per atom
* mass density: 8.7 Mg/m³

2 | The following is a DFT calculation (PBE) of an optimized crystal structure of LiSbW.

```
3
Lattice="4.457 0.000 0.000 2.229 3.860 0.000 2.229 1.287 3.639" Properties=species:S:1:pos:R:3 pbc="T T T"
Li 4.457 2.573 1.820
Sb 6.686 3.860 2.730
W 0.000 0.000 0.000
```

Properties
* DOS at the Fermi energy: 0.802 states/eV per atom
* space-group type: F-43m (216)
* total magnetization: 0.4844 μB per atom
* mass density: 8.3 Mg/m³

Name the least stable of them. 2.

1 | The following is a DFT calculation (PBE) of an optimized crystal structure of LiSbW.

```
3
Lattice="7.431 -0.006 0.004 6.660 2.835 -0.036 0.771 -0.748 2.740" Properties=species:S:1:pos:R:3 pbc="T T T"
Li 13.953 2.792 -0.003
Sb 9.781 1.672 0.865
W 5.219 0.446 1.815
```

Properties
* DOS at the Fermi energy: 0.654 states/eV per atom
* space-group type: Fmm2 (42)
* total magnetization: 0.0000 μB per atom
* mass density: 9.0 Mg/m³

2 | The following is a DFT calculation (PBE) of an optimized crystal structure of LiSbW.

```
3
Lattice="4.722 0.000 0.000 -2.361 4.090 0.000 0.000 0.000 2.850" Properties=species:S:1:pos:R:3 pbc="T T T"
Li 0.000 0.000 2.848
Sb 2.361 1.363 1.431
W 0.000 2.727 1.422
```

Properties
* DOS at the Fermi energy: 0.621 states/eV per atom
* space-group type: P3m1 (156)
* total magnetization: 0.0000 μB per atom
* mass density: 9.4 Mg/m³

Name the least stable of them. 1.